[1]
Density functional theory data (SCAN) for HfBiF2 at its PBEsol-relaxed geometry.

Summary:
For the density of states at the Fermi level, the calculation gives 5.84 states/eV per cell. The value obtained for the uncorrected formation energy is -1809 meV/atom.

a = 3.2355 Å, b = 3.2355 Å, c = 28.6399 Å
α = 90.00°, β = 90.00°, γ = 120.00°
Space group R-3m (No. 166, hexagonal axes)
Symmetry-distinct sites (fractional):
Hf 0.0000 0.0000 0.0000 [3 per cell]
Bi 0.0000 0.0000 0.5000 [3 per cell]
F 0.0000 0.0000 0.0673 [6 per cell]

[2]
Density functional theory data (SCAN) for YIn2Rh at its PBEsol-relaxed geometry.

Summary:
For the density of states at the Fermi level, the calculation gives 4.68 states/eV per cell. The uncorrected energy comes out at -1.19738 hartree per atom.

a = 3.3725 Å, b = 4.9367 Å, c = 10.1326 Å
α = 90.00°, β = 90.00°, γ = 90.00°
Space group Immm (No. 71)
Symmetry-distinct sites (fractional):
Y 0.0000 0.0000 0.0000 [2 per cell]
In 0.0000 0.5000 0.2151 [4 per cell]
Rh 0.0000 0.0000 0.5000 [2 per cell]

[3]
Density functional theory data (SCAN) for KSr2Br at its PBEsol-relaxed geometry.

Summary:
For the density of states at the Fermi level, the calculation gives 2.15 states/eV per cell. The value obtained for the uncorrected formation energy is -785 meV/atom.

a = 3.9689 Å, b = 3.9689 Å, c = 10.9588 Å
α = 90.00°, β = 90.00°, γ = 90.00°
Space group P4mm (No. 99)
Symmetry-distinct sites (fractional):
K 0.0000 0.0000 0.0000 [1 per cell]
Sr 0.0000 0.0000 0.6134 [1 per cell]
Sr 0.5000 0.5000 0.3264 [1 per cell]
Br 0.5000 0.5000 0.7984 [1 per cell]

[4]
Density functional theory data (SCAN) for ZrBe4 at its PBEsol-relaxed geometry.

Summary:
For the density of states at the Fermi level, the calculation gives 2.64 states/eV per cell. The uncorrected energy comes out at -0.35468 hartree per atom.

a = 5.2935 Å, b = 5.2935 Å, c = 3.8820 Å
α = 90.00°, β = 90.00°, γ = 90.00°
Space group I4/mmm (No. 139)
Symmetry-distinct sites (fractional):
Zr 0.0000 0.0000 0.0000 [2 per cell]
Be 0.0000 0.3112 0.5000 [8 per cell]

[5]
Density functional theory data (SCAN) for ZrMnAg2N at its PBEsol-relaxed geometry.

Summary:
For the density of states at the Fermi level, the calculation gives 4.22 states/eV per cell. The value obtained for the uncorrected formation energy is 2239 meV/atom.

a = 5.2479 Å, b = 5.2479 Å, c = 4.4988 Å
α = 90.00°, β = 90.00°, γ = 90.00°
Space group P4/mmm (No. 123)
Symmetry-distinct sites (fractional):
Zr 0.0000 0.0000 0.0000 [1 per cell]
Mn 0.0000 0.0000 0.5000 [1 per cell]
Ag 0.0000 0.5000 0.0000 [2 per cell]
N 0.5000 0.5000 0.5000 [1 per cell]

[6]
Density functional theory data (SCAN) for Cr3PbAu at its PBEsol-relaxed geometry.

Summary:
For the density of states at the Fermi level, the calculation gives 4.89 states/eV per cell. The uncorrected energy comes out at -1.44373 hartree per atom.

a = 4.9338 Å, b = 4.9338 Å, c = 4.9338 Å
α = 90.00°, β = 90.00°, γ = 90.00°
Space group Pm-3m (No. 221)
Symmetry-distinct sites (fractional):
Cr 0.0000 0.0000 0.5000 [3 per cell]
Pb 0.5000 0.5000 0.5000 [1 per cell]
Au 0.0000 0.0000 0.0000 [1 per cell]

[7]
Density functional theory data (SCAN) for TiMnAl3 at its PBEsol-relaxed geometry.

Summary:
For the density of states at the Fermi level, the calculation gives 2.46 states/eV per cell. The uncorrected energy comes out at -0.39114 hartree per atom.

a = 4.8260 Å, b = 4.8260 Å, c = 4.8260 Å
α = 90.00°, β = 90.00°, γ = 90.00°
Space group Pm-3m (No. 221)
Symmetry-distinct sites (fractional):
Ti 0.0000 0.0000 0.0000 [1 per cell]
Mn 0.5000 0.5000 0.5000 [1 per cell]
Al 0.0000 0.0000 0.5000 [3 per cell]

[8]
Density functional theory data (SCAN) for BaIrOs2 at its PBEsol-relaxed geometry.

Summary:
For the density of states at the Fermi level, the calculation gives 5.66 states/eV per cell. The uncorrected energy comes out at -2.29864 hartree per atom.

a = 2.8807 Å, b = 4.4668 Å, c = 6.3725 Å
α = 90.00°, β = 100.12°, γ = 90.00°
Space group P2/m (No. 10)
Symmetry-distinct sites (fractional):
Ba 0.0000 0.0000 0.0000 [1 per cell]
Ir 0.5000 0.0000 0.5000 [1 per cell]
Os 0.2902 0.5000 0.6643 [2 per cell]

Repeat the sixth record exactly.
Density functional theory data (SCAN) for Cr3PbAu at its PBEsol-relaxed geometry.

Summary:
For the density of states at the Fermi level, the calculation gives 4.89 states/eV per cell. The uncorrected energy comes out at -1.44373 hartree per atom.

a = 4.9338 Å, b = 4.9338 Å, c = 4.9338 Å
α = 90.00°, β = 90.00°, γ = 90.00°
Space group Pm-3m (No. 221)
Symmetry-distinct sites (fractional):
Cr 0.0000 0.0000 0.5000 [3 per cell]
Pb 0.5000 0.5000 0.5000 [1 per cell]
Au 0.0000 0.0000 0.0000 [1 per cell]

Please write out number 5 again, unchanged.
Density functional theory data (SCAN) for ZrMnAg2N at its PBEsol-relaxed geometry.

Summary:
For the density of states at the Fermi level, the calculation gives 4.22 states/eV per cell. The value obtained for the uncorrected formation energy is 2239 meV/atom.

a = 5.2479 Å, b = 5.2479 Å, c = 4.4988 Å
α = 90.00°, β = 90.00°, γ = 90.00°
Space group P4/mmm (No. 123)
Symmetry-distinct sites (fractional):
Zr 0.0000 0.0000 0.0000 [1 per cell]
Mn 0.0000 0.0000 0.5000 [1 per cell]
Ag 0.0000 0.5000 0.0000 [2 per cell]
N 0.5000 0.5000 0.5000 [1 per cell]